The following is a PBE calculation of crystalline PaZnTcNi at its relaxed geometry, from Alexandria via LeMat-Bulk.

Energy relative to the elements ... -142 meV per atom
Space-group type ... F-43m

Geometry as POSCAR:
```
PaZnTcNi
1.0
-0.625 0.007 -4.506
1.934 -3.218 -2.570
-2.573 -3.209 -1.945
Ni Zn Pa Tc
1 1 1 1
direct
0.250 0.250 0.250
0.500 0.500 0.500
0.000 0.000 0.000
0.750 0.750 0.750
```